Entry 1:
# TlOsSe2 | Alexandria via LeMat-Bulk | PBE | optimized geometry
data_TlOsSe2
_cell_length_a 3.122
_cell_length_b 3.122
_cell_length_c 8.727
_cell_angle_alpha 90.00
_cell_angle_beta 90.00
_cell_angle_gamma 90.00
_space_group_name_H-M_alt 'P 4/m m m'
_space_group_IT_number 123
_space_group_name_Hall '-P 4 2'
loop_
_atom_site_label
_atom_site_type_symbol
_atom_site_fract_x
_atom_site_fract_y
_atom_site_fract_z
_atom_site_occupancy
Tl1 Tl 0.000 0.000 0.000 1
Os1 Os 0.000 0.000 0.500 1
Se1 Se 0.500 0.500 0.324 1
# * size of the total moment: 0.0 μB/f.u.
# * offset from the most stable computed form: 302.4 meV per atom
# * E_form (uncorrected): 306 meV per atom

---

Entry 2:
# Tl3OsSe | Alexandria via LeMat-Bulk | PBE | optimized geometry
data_Tl3OsSe
_cell_length_a 5.293
_cell_length_b 5.293
_cell_length_c 5.293
_cell_angle_alpha 90.00
_cell_angle_beta 90.00
_cell_angle_gamma 90.00
_space_group_name_H-M_alt 'P m -3 m'
_space_group_IT_number 221
_space_group_name_Hall '-P 4 2 3'
loop_
_atom_site_label
_atom_site_type_symbol
_atom_site_fract_x
_atom_site_fract_y
_atom_site_fract_z
_atom_site_occupancy
Tl1 Tl 0.000 0.000 0.500 1
Os1 Os 0.000 0.000 0.000 1
Se1 Se 0.500 0.500 0.500 1
# * size of the total moment: 0.0 μB/f.u.
# * offset from the most stable computed form: 0.0 meV per atom
# * E_form (uncorrected): 507 meV per atom